Density functional theory data (PBE-GGA) for crystalline ScTaHg2 at its relaxed geometry.

abc: 4.8627 4.8627 4.8627
angles: 60.00 60.00 60.00
Atoms (fractional coordinates):
Sc 0.0000 0.0000 0.0000
Ta 0.5000 0.5000 0.5000
Hg 0.2500 0.2500 0.2500
Hg 0.7500 0.7500 0.7500

Properties
Energy relative to the lowest polymorph listed for this composition: 0.48 eV per formula unit
Space-group type: No. 225
DFT formation energy: 0.17 eV per atom